The following is a DFT calculation (PBE-GGA) of an optimized crystal structure of Pa2Si2Ni.

The structure belongs to space group C2/m (No. 12); the cell edges are 10.503, 3.932 and 10.473 Å and the angles 90.00°, 119.93° and 90.00°. Symmetry generates all atoms from Pa at (0.071, 0.000, 0.355), Pa at (0.217, 0.000, 0.080), Si at (0.012, 0.500, 0.122), Si at (0.124, 0.500, 0.595) and Ni at (0.243, 0.000, 0.696).

Its density of states at the Fermi level is 22.94 states/eV/cell. As for the polymorph energy (0 for the lowest one): 0.000 eV per atom. Its uncorrected formation energy is -633 meV/atom.